# 1
Density functional theory data (GGA-PBE) for a relaxed structure of Nb4FeMo3.

## Properties
- ΔE_f (meV/atom) = -98
- N(E_F) (states/eV/f.u.) = 5.57
- M_tot (μB per formula unit) = 0.56
- DFT total energy (eV/atom) = -10.2524

a b c (Å): 3.2093 4.5331 9.0201
angles (deg): 90.00 90.00 90.00
Sites, in units of the cell vectors:
Nb  0.0000  0.0000  0.0000
Nb  0.0000  0.0000  0.5000
Nb  0.0000  0.5000  0.2428
Nb  0.0000  0.5000  0.7572
Fe  0.5000  0.5000  0.0000
Mo  0.5000  0.0000  0.2440
Mo  0.5000  0.0000  0.7560
Mo  0.5000  0.5000  0.5000

# 2
Density functional theory data (GGA-PBE) for a relaxed structure of TlSiAu.

## Properties
- N(E_F) (states/eV/f.u.) = 0.93
- M_tot (μB per formula unit) = 0.00
- DFT total energy (eV/atom) = -3.4790
- E_form (uncorrected) (eV/atom) = 0.2099

a b c (Å): 3.3195 3.3195 12.5169
angles (deg): 90.00 90.00 90.00
Sites, in units of the cell vectors:
Tl  0.0000  0.0000  0.0000
Tl  0.5000  0.5000  0.5000
Si  0.0000  0.0000  0.7071
Si  0.5000  0.5000  0.2071
Au  0.0000  0.0000  0.2926
Au  0.5000  0.5000  0.7926